5
Lattice="4.7353 0.0000 0.0000 0.0000 4.7353 0.0000 0.0000 0.0000 4.7353" Properties=species:S:1:pos:R:3 comment="RbMgFe3 (PBE, relaxed)" spacegroup="Pm-3m (221)" formation_energy_ev_per_atom=2.356 final_energy_ev_per_cell=-16.17 density_g_cm3=4.34 pbc="T T T"
Mg 2.3676 2.3676 2.3676
Fe 0.0000 2.3676 0.0000
Fe 0.0000 0.0000 2.3676
Fe 2.3676 0.0000 0.0000
Rb 0.0000 0.0000 0.0000